Model i:
Entry from the Alexandria database: an optimized crystal structure of LaTbCo2 (PBE).

Cell and atoms, written as POSCAR:
```
LaTbCo2
1.0
3.905 0.000 0.000
0.000 5.755 0.000
0.000 0.000 7.627
La Tb Co
2 2 4
direct
0.000 0.128 0.000 La
0.000 0.872 0.500 La
0.500 0.374 0.642 Tb
0.500 0.626 0.142 Tb
0.000 0.362 0.354 Co
0.000 0.638 0.854 Co
0.500 0.165 0.295 Co
0.500 0.835 0.795 Co
```

Calculated values
The symmetry is Pmc2_1, No. 26. The value obtained for the volume is 171 Å³ per cell. Its magnetic moment is 0.0 Bohr magnetons per cell.

---

Model ii:
Entry from the Alexandria database: an optimized crystal structure of LaTbCo2 (PBE).

Cell and atoms, written as POSCAR:
```
LaTbCo2
1.0
4.862 0.000 0.000
0.000 4.862 0.000
0.000 0.000 3.426
La Tb Co
1 1 2
direct
0.000 0.000 0.000 La
0.500 0.500 0.000 Tb
0.000 0.500 0.500 Co
0.500 0.000 0.500 Co
```

Calculated values
The symmetry is P4/mmm, No. 123. The value obtained for the volume is 81 Å³ per cell. Its magnetic moment is 0.8 Bohr magnetons per cell.

---

Order from most stable to least stable according to the calculation: model i, model ii

---

Model i:
Entry from the Alexandria database: an optimized crystal structure of LaTb2Co (PBE).

Cell and atoms, written as POSCAR:
```
LaTb2Co
1.0
3.841 0.000 0.000
-1.920 3.326 0.000
0.000 0.000 27.431
La Tb Co
3 6 3
direct
0.000 0.000 0.000 La
0.333 0.667 0.667 La
0.667 0.333 0.333 La
0.000 0.000 0.552 Tb
0.000 0.000 0.777 Tb
0.333 0.667 0.219 Tb
0.333 0.667 0.444 Tb
0.667 0.333 0.111 Tb
0.667 0.333 0.885 Tb
0.000 0.000 0.165 Co
0.333 0.667 0.831 Co
0.667 0.333 0.498 Co
```

Calculated values
The symmetry is R3m, No. 160. The value obtained for the volume is 350 Å³ per cell. Its magnetic moment is 0.0 Bohr magnetons per cell.

---

Model ii:
Entry from the Alexandria database: an optimized crystal structure of LaTb2Co (PBE).

Cell and atoms, written as POSCAR:
```
LaTb2Co
1.0
3.439 0.000 0.000
0.000 3.439 0.000
0.000 0.000 9.124
La Tb Co
1 2 1
direct
0.000 0.000 0.000 La
0.500 0.500 0.324 Tb
0.500 0.500 0.676 Tb
0.000 0.000 0.500 Co
```

Calculated values
The symmetry is P4/mmm, No. 123. The value obtained for the volume is 108 Å³ per cell. Its magnetic moment is 0.7 Bohr magnetons per cell.

---

Order from most stable to least stable according to the calculation: model ii, model i

---

Model i:
Entry from the Alexandria database: an optimized crystal structure of LaTb2Co (PBE).

Cell and atoms, written as POSCAR:
```
LaTb2Co
1.0
6.982 0.000 0.000
0.000 9.605 0.000
0.000 0.000 6.471
La Tb Co
4 8 4
direct
0.059 0.250 0.135 La
0.441 0.750 0.635 La
0.559 0.250 0.365 La
0.941 0.750 0.865 La
0.166 0.069 0.674 Tb
0.166 0.431 0.674 Tb
0.334 0.569 0.174 Tb
0.334 0.931 0.174 Tb
0.666 0.069 0.826 Tb
0.666 0.431 0.826 Tb
0.834 0.569 0.326 Tb
0.834 0.931 0.326 Tb
0.124 0.750 0.447 Co
0.376 0.250 0.947 Co
0.624 0.750 0.053 Co
0.876 0.250 0.553 Co
```

Calculated values
The symmetry is Pnma, No. 62. The value obtained for the volume is 434 Å³ per cell. Its magnetic moment is 0.0 Bohr magnetons per cell.

---

Model ii:
Entry from the Alexandria database: an optimized crystal structure of LaTb2Co (PBE).

Cell and atoms, written as POSCAR:
```
LaTb2Co
1.0
3.679 0.000 0.000
-1.839 3.186 0.000
0.000 0.000 31.088
La Tb Co
3 6 3
direct
0.000 0.000 0.000 La
0.333 0.667 0.667 La
0.667 0.333 0.333 La
0.000 0.000 0.116 Tb
0.000 0.000 0.884 Tb
0.333 0.667 0.550 Tb
0.333 0.667 0.783 Tb
0.667 0.333 0.217 Tb
0.667 0.333 0.450 Tb
0.000 0.000 0.500 Co
0.333 0.667 0.167 Co
0.667 0.333 0.833 Co
```

Calculated values
The symmetry is R-3m, No. 166. The value obtained for the volume is 364 Å³ per cell. Its magnetic moment is 0.0 Bohr magnetons per cell.

---

Order from most stable to least stable according to the calculation: model i, model ii

---

Model i:
Entry from the Alexandria database: an optimized crystal structure of La3TbCo (PBE).

Cell and atoms, written as POSCAR:
```
La3TbCo
1.0
5.477 0.000 0.000
0.000 5.477 0.000
0.000 0.000 5.477
La Tb Co
3 1 1
direct
0.000 0.000 0.500 La
0.000 0.500 0.000 La
0.500 0.000 0.000 La
0.500 0.500 0.500 Tb
0.000 0.000 0.000 Co
```

Calculated values
The symmetry is Pm-3m, No. 221. The value obtained for the volume is 164 Å³ per cell. Its magnetic moment is 0.0 Bohr magnetons per cell.

---

Model ii:
Entry from the Alexandria database: an optimized crystal structure of La3TbCo (PBE).

Cell and atoms, written as POSCAR:
```
La3TbCo
1.0
5.498 -5.246 0.000
5.498 5.246 0.000
-5.188 0.000 5.504
La Tb Co
6 2 2
direct
0.241 0.759 0.233 La
0.241 0.759 0.767 La
0.295 0.295 0.293 La
0.705 0.705 0.707 La
0.759 0.241 0.233 La
0.759 0.241 0.767 La
0.222 0.222 0.722 Tb
0.778 0.778 0.278 Tb
0.001 0.001 0.198 Co
0.999 0.999 0.802 Co
```

Calculated values
The symmetry is C2/m, No. 12. The value obtained for the volume is 317 Å³ per cell. Its magnetic moment is 0.0 Bohr magnetons per cell.

---

Order from most stable to least stable according to the calculation: model ii, model i

---

Model i:
Entry from the Alexandria database: an optimized crystal structure of LaTb2Co2 (PBE).

Cell and atoms, written as POSCAR:
```
LaTb2Co2
1.0
11.395 0.000 0.000
0.000 3.937 0.000
-1.715 0.000 5.329
La Tb Co
2 4 4
direct
0.000 0.000 0.000 La
0.500 0.500 0.000 La
0.163 0.500 0.624 Tb
0.337 0.000 0.376 Tb
0.663 0.000 0.624 Tb
0.837 0.500 0.376 Tb
0.195 0.500 0.127 Co
0.305 0.000 0.873 Co
0.695 0.000 0.127 Co
0.805 0.500 0.873 Co
```

Calculated values
The symmetry is C2/m, No. 12. The value obtained for the volume is 239 Å³ per cell. Its magnetic moment is 0.0 Bohr magnetons per cell.

---

Model ii:
Entry from the Alexandria database: an optimized crystal structure of LaTb2Co2 (PBE).

Cell and atoms, written as POSCAR:
```
LaTb2Co2
1.0
5.436 -1.909 0.000
5.436 1.909 0.000
-5.055 0.000 11.333
La Tb Co
2 4 4
direct
0.249 0.751 0.750 La
0.751 0.249 0.250 La
0.102 0.601 0.419 Tb
0.399 0.898 0.081 Tb
0.601 0.102 0.919 Tb
0.898 0.399 0.581 Tb
0.112 0.612 0.078 Co
0.388 0.888 0.422 Co
0.612 0.112 0.578 Co
0.888 0.388 0.922 Co
```

Calculated values
The symmetry is C2/c, No. 15. The value obtained for the volume is 235 Å³ per cell. Its magnetic moment is 0.0 Bohr magnetons per cell.

---

Order from most stable to least stable according to the calculation: model ii, model i

---

Model i:
Entry from the Alexandria database: an optimized crystal structure of LaCoTc2 (PBE).

Cell and atoms, written as POSCAR:
```
LaCoTc2
1.0
3.198 0.000 0.000
0.000 4.406 0.000
0.000 0.000 4.931
La Co Tc
1 1 2
direct
0.000 0.000 0.000 La
0.500 0.500 0.000 Co
0.000 0.500 0.500 Tc
0.500 0.000 0.500 Tc
```

Calculated values
The symmetry is Pmmm, No. 47. The value obtained for the volume is 69 Å³ per cell. Its magnetic moment is 1.3 Bohr magnetons per cell.

---

Model ii:
Entry from the Alexandria database: an optimized crystal structure of LaCoTc2 (PBE).

Cell and atoms, written as POSCAR:
```
LaCoTc2
1.0
3.930 0.000 0.000
0.000 3.930 0.000
0.000 0.000 8.896
La Co Tc
2 2 4
direct
0.000 0.000 0.000 La
0.500 0.500 0.500 La
0.000 0.000 0.500 Co
0.500 0.500 0.000 Co
0.000 0.500 0.250 Tc
0.000 0.500 0.750 Tc
0.500 0.000 0.250 Tc
0.500 0.000 0.750 Tc
```

Calculated values
The symmetry is I4/mmm, No. 139. The value obtained for the volume is 137 Å³ per cell. Its magnetic moment is 0.0 Bohr magnetons per cell.

---

Model iii:
Entry from the Alexandria database: an optimized crystal structure of LaCoTc2 (PBE).

Cell and atoms, written as POSCAR:
```
LaCoTc2
1.0
3.165 0.000 0.000
0.000 4.994 0.000
0.000 0.000 9.044
La Co Tc
2 2 4
direct
0.000 0.000 0.000 La
0.500 0.500 0.500 La
0.000 0.500 0.219 Co
0.500 0.000 0.719 Co
0.000 0.000 0.500 Tc
0.000 0.500 0.782 Tc
0.500 0.000 0.282 Tc
0.500 0.500 0.000 Tc
```

Calculated values
The symmetry is Imm2, No. 44. The value obtained for the volume is 143 Å³ per cell. Its magnetic moment is 2.5 Bohr magnetons per cell.

---

Order from most stable to least stable according to the calculation: model i, model iii, model ii